[1]
Computed, not measured: a relaxed PuTlO5 crystal at the PBE level of DFT.

- formation energy from raw total energies (eV/atom) = -1.5947

a b c (Å): 9.500 6.361 8.536
angles (deg): 90.00 118.48 90.00
Space group C2/c (No. 15)
Inequivalent atoms, fractional coordinates:
1 Pu 0.000 0.000 0.000 (multiplicity 4)
2 Tl 0.000 0.462 0.250 (multiplicity 4)
3 O 0.000 0.126 0.250 (multiplicity 4)
4 O 0.029 0.289 0.944 (multiplicity 8)
5 O 0.223 0.035 0.628 (multiplicity 8)

---

[2]
Computed, not measured: a relaxed PuTl3O4 crystal at the PBE level of DFT.

- formation energy from raw total energies (eV/atom) = -1.2877

a b c (Å): 5.829 5.829 5.829
angles (deg): 90.00 90.00 90.00
Space group P-43m (No. 215)
Inequivalent atoms, fractional coordinates:
1 Pu 0.000 0.000 0.000 (multiplicity 1)
2 Tl 0.000 0.500 0.500 (multiplicity 3)
3 O 0.202 0.202 0.202 (multiplicity 4)

---

[3]
Computed, not measured: a relaxed Pu3Tl5O12 crystal at the PBE level of DFT.

- formation energy from raw total energies (eV/atom) = -1.8374

a b c (Å): 11.2418 11.2418 3.4760
angles (deg): 90.00 90.00 120.00
Space group P-62m (No. 189)
Inequivalent atoms, fractional coordinates:
1 Pu 0.0000 0.6608 0.0000 (multiplicity 3)
2 Tl 0.0000 0.2796 0.5000 (multiplicity 3)
3 Tl 0.3333 0.6667 0.5000 (multiplicity 2)
4 O 0.0000 0.5449 0.5000 (multiplicity 3)
5 O 0.0000 0.7776 0.5000 (multiplicity 3)
6 O 0.1944 0.7615 0.0000 (multiplicity 6)

---

[4]
Computed, not measured: a relaxed PuTl5O5 crystal at the PBE level of DFT.

- formation energy from raw total energies (eV/atom) = -1.2542

a b c (Å): 16.512 4.268 7.816
angles (deg): 90.00 111.38 90.00
Space group C2/m (No. 12)
Inequivalent atoms, fractional coordinates:
1 Pu 0.000 0.000 0.000 (multiplicity 2)
2 Tl 0.000 0.000 0.500 (multiplicity 2)
3 Tl 0.159 0.500 0.821 (multiplicity 4)
4 Tl 0.171 0.500 0.300 (multiplicity 4)
5 O 0.000 0.500 0.000 (multiplicity 2)
6 O 0.087 0.000 0.272 (multiplicity 4)
7 O 0.104 0.000 0.909 (multiplicity 4)

---

[5]
Computed, not measured: a relaxed PuTl2O8 crystal at the PBE level of DFT.

- formation energy from raw total energies (eV/atom) = -0.8537

a b c (Å): 15.820 3.518 6.172
angles (deg): 90.00 95.63 90.00
Space group C2/m (No. 12)
Inequivalent atoms, fractional coordinates:
1 Pu 0.000 0.000 0.000 (multiplicity 2)
2 Tl 0.246 0.500 0.248 (multiplicity 4)
3 O 0.045 0.000 0.745 (multiplicity 4)
4 O 0.065 0.500 0.120 (multiplicity 4)
5 O 0.184 0.000 0.059 (multiplicity 4)
6 O 0.188 0.500 0.569 (multiplicity 4)

---

[6]
Computed, not measured: a relaxed PuTl4O5 crystal at the PBE level of DFT.

- formation energy from raw total energies (eV/atom) = -1.4509

a b c (Å): 9.670 9.670 4.344
angles (deg): 90.00 90.00 90.00
Space group I4/m (No. 87)
Inequivalent atoms, fractional coordinates:
1 Pu 0.000 0.000 0.000 (multiplicity 2)
2 Tl 0.093 0.699 0.500 (multiplicity 8)
3 O 0.000 0.000 0.500 (multiplicity 2)
4 O 0.143 0.844 0.000 (multiplicity 8)

---

[7]
Computed, not measured: a relaxed PuTlO3 crystal at the PBE level of DFT.

- formation energy from raw total energies (eV/atom) = -2.1852

a b c (Å): 11.335 11.335 11.335
angles (deg): 90.00 90.00 90.00
Space group Fd-3m (No. 227, origin choice 2)
Inequivalent atoms, fractional coordinates:
1 Pu 0.000 0.000 0.000 (multiplicity 16)
2 Tl 0.000 0.000 0.500 (multiplicity 16)
3 O 0.066 0.375 0.375 (multiplicity 48)

---

[8]
Computed, not measured: a relaxed Pu3Tl2O10 crystal at the PBE level of DFT.

- formation energy from raw total energies (eV/atom) = -2.1457

a b c (Å): 19.734 6.779 8.455
angles (deg): 90.00 112.92 90.00
Space group C2/m (No. 12)
Inequivalent atoms, fractional coordinates:
1 Pu 0.000 0.249 0.000 (multiplicity 4)
2 Pu 0.080 0.500 0.473 (multiplicity 4)
3 Pu 0.185 0.500 0.011 (multiplicity 4)
4 Tl 0.106 0.000 0.735 (multiplicity 4)
5 Tl 0.195 0.000 0.328 (multiplicity 4)
6 O 0.000 0.313 0.500 (multiplicity 4)
7 O 0.022 0.000 0.165 (multiplicity 4)
8 O 0.024 0.500 0.178 (multiplicity 4)
9 O 0.102 0.255 0.017 (multiplicity 8)
10 O 0.137 0.500 0.768 (multiplicity 4)
11 O 0.140 0.289 0.467 (multiplicity 8)
12 O 0.228 0.500 0.245 (multiplicity 4)
13 O 0.250 0.250 0.000 (multiplicity 4)

---

[9]
Computed, not measured: a relaxed PuTl3O7 crystal at the PBE level of DFT.

- formation energy from raw total energies (eV/atom) = -1.3005

a b c (Å): 7.556 11.436 8.230
angles (deg): 90.00 90.00 90.00
Space group Cmcm (No. 63)
Inequivalent atoms, fractional coordinates:
1 Pu 0.000 0.000 0.000 (multiplicity 4)
2 Tl 0.000 0.500 0.000 (multiplicity 4)
3 Tl 0.249 0.256 0.250 (multiplicity 8)
4 O 0.000 0.037 0.750 (multiplicity 4)
5 O 0.000 0.322 0.750 (multiplicity 4)
6 O 0.000 0.344 0.250 (multiplicity 4)
7 O 0.183 0.122 0.028 (multiplicity 16)

---

[10]
Computed, not measured: a relaxed Pu2TlO7 crystal at the PBE level of DFT.

- formation energy from raw total energies (eV/atom) = -2.0856

a b c (Å): 6.345 12.984 4.163
angles (deg): 90.00 90.00 90.00
Space group Cmmm (No. 65)
Inequivalent atoms, fractional coordinates:
1 Pu 0.000 0.161 0.000 (multiplicity 4)
2 Tl 0.000 0.500 0.500 (multiplicity 2)
3 O 0.000 0.000 0.000 (multiplicity 2)
4 O 0.000 0.163 0.500 (multiplicity 4)
5 O 0.207 0.347 0.000 (multiplicity 8)

---

[11]
Computed, not measured: a relaxed PuTlO6 crystal at the PBE level of DFT.

- formation energy from raw total energies (eV/atom) = -1.3085

a b c (Å): 5.393 5.485 5.715
angles (deg): 98.06 110.87 118.45
Space group P-1 (No. 2)
Inequivalent atoms, fractional coordinates:
1 Pu 0.000 0.000 0.000 (multiplicity 1)
2 Tl 0.000 0.500 0.500 (multiplicity 1)
3 O 0.065 0.627 0.108 (multiplicity 2)
4 O 0.138 0.922 0.734 (multiplicity 2)
5 O 0.425 0.295 0.253 (multiplicity 2)

---

[12]
Computed, not measured: a relaxed Pu3TlO8 crystal at the PBE level of DFT.

- formation energy from raw total energies (eV/atom) = -2.4099

a b c (Å): 6.8800 6.8800 20.5500
angles (deg): 90.00 90.00 120.00
Space group R-3m (No. 166, hexagonal axes)
Inequivalent atoms, fractional coordinates:
1 Pu 0.0000 0.5000 0.0000 (multiplicity 9)
2 Tl 0.0000 0.0000 0.5000 (multiplicity 3)
3 O 0.0000 0.0000 0.2822 (multiplicity 6)
4 O 0.0511 0.5256 0.2842 (multiplicity 18)

---

[13]
Computed, not measured: a relaxed PuTlO3 crystal at the PBE level of DFT.

- formation energy from raw total energies (eV/atom) = -2.1753

a b c (Å): 5.9035 5.9035 13.9419
angles (deg): 90.00 90.00 120.00
Space group P-31c (No. 163)
Inequivalent atoms, fractional coordinates:
1 Pu 0.0000 0.0000 0.2500 (multiplicity 2)
2 Pu 0.3333 0.6667 0.2500 (multiplicity 2)
3 Tl 0.3333 0.6667 0.5724 (multiplicity 4)
4 O 0.0460 0.3338 0.1714 (multiplicity 12)

---

[14]
Computed, not measured: a relaxed PuTlO crystal at the PBE level of DFT.

- formation energy from raw total energies (eV/atom) = -1.5057

a b c (Å): 3.7292 3.7292 24.0063
angles (deg): 90.00 90.00 120.00
Space group P6_3/mmc (No. 194)
Inequivalent atoms, fractional coordinates:
1 Pu 0.3333 0.6667 0.1364 (multiplicity 4)
2 Tl 0.0000 0.0000 0.0000 (multiplicity 2)
3 Tl 0.0000 0.0000 0.2500 (multiplicity 2)
4 O 0.3333 0.6667 0.6159 (multiplicity 4)

---

[15]
Computed, not measured: a relaxed PuTl2O4 crystal at the PBE level of DFT.

- formation energy from raw total energies (eV/atom) = -1.7752

a b c (Å): 3.509 5.921 7.283
angles (deg): 73.62 76.88 87.23
Space group P-1 (No. 2)
Inequivalent atoms, fractional coordinates:
1 Pu 0.000 0.000 0.000 (multiplicity 1)
2 Tl 0.337 0.329 0.304 (multiplicity 2)
3 O 0.127 0.018 0.730 (multiplicity 2)
4 O 0.493 0.236 0.967 (multiplicity 2)

---

[16]
Computed, not measured: a relaxed Pu2TlO8 crystal at the PBE level of DFT.

- formation energy from raw total energies (eV/atom) = -1.7886

a b c (Å): 12.798 4.187 9.892
angles (deg): 90.00 129.82 90.00
Space group C2/m (No. 12)
Inequivalent atoms, fractional coordinates:
1 Pu 0.012 0.000 0.341 (multiplicity 4)
2 Tl 0.000 0.500 0.000 (multiplicity 2)
3 O 0.008 0.500 0.333 (multiplicity 4)
4 O 0.108 0.000 0.908 (multiplicity 4)
5 O 0.125 0.000 0.629 (multiplicity 4)
6 O 0.157 0.000 0.347 (multiplicity 4)

---

[17]
Computed, not measured: a relaxed PuTl2O5 crystal at the PBE level of DFT.

- formation energy from raw total energies (eV/atom) = -1.5222

a b c (Å): 6.347 6.347 4.287
angles (deg): 90.00 90.00 90.00
Space group P4/mmm (No. 123)
Inequivalent atoms, fractional coordinates:
1 Pu 0.000 0.000 0.000 (multiplicity 1)
2 Tl 0.000 0.500 0.500 (multiplicity 2)
3 O 0.000 0.000 0.500 (multiplicity 1)
4 O 0.212 0.212 0.000 (multiplicity 4)

---

[18]
Computed, not measured: a relaxed Pu6Tl2O crystal at the PBE level of DFT.

- formation energy from raw total energies (eV/atom) = -0.3309

a b c (Å): 6.598 6.558 11.568
angles (deg): 90.00 123.23 90.00
Space group P2_1/c (No. 14)
Inequivalent atoms, fractional coordinates:
1 Pu 0.203 0.036 0.244 (multiplicity 4)
2 Pu 0.244 0.740 0.494 (multiplicity 4)
3 Pu 0.265 0.201 0.469 (multiplicity 4)
4 Tl 0.290 0.521 0.252 (multiplicity 4)
5 O 0.000 0.000 0.000 (multiplicity 2)

---

[19]
Computed, not measured: a relaxed PuTlO3 crystal at the PBE level of DFT.

- formation energy from raw total energies (eV/atom) = -2.1716

a b c (Å): 4.316 4.316 4.316
angles (deg): 90.00 90.00 90.00
Space group Pm-3m (No. 221)
Inequivalent atoms, fractional coordinates:
1 Pu 0.000 0.000 0.000 (multiplicity 1)
2 Tl 0.500 0.500 0.500 (multiplicity 1)
3 O 0.000 0.000 0.500 (multiplicity 3)

---

no.,total DFT energy (no corrections) (eV/atom),M_tot (μB/cell),calculated volume (Å³/atom)
1,-7.522,4.00,16.2
2,-6.446,3.00,24.8
3,-7.554,5.00,19.0
4,-5.886,4.77,23.3
5,-6.193,4.06,15.5
6,-6.310,4.00,20.3
7,-8.500,46.83,18.2
8,-8.633,24.00,17.4
9,-6.404,4.09,16.2
10,-8.659,6.00,17.1
11,-7.114,0.99,16.1
12,-9.496,27.00,23.4
13,-8.490,12.00,21.0
14,-8.725,21.37,24.1
15,-7.332,2.00,20.2
16,-8.215,1.94,18.5
17,-7.004,0.10,21.6
18,-10.962,21.96,23.3
19,-8.486,3.00,16.1